1.
A plane-wave DFT calculation with PBE-GGA was carried out for a relaxed CrGeOs crystal.

Cell lengths 2.8979, 2.8979, 5.1903 Å; angles 106.21, 106.21, 90.00 degrees
Closest atoms and distances in Å follow each position.
Fractional positions:
1 Cr 0.0040 0.0040 0.0080  4 Ge 2.54, 4 Os 2.61
2 Ge 0.6616 0.6616 0.3232  4 Cr 2.54, 4 Os 2.63
3 Os 0.3344 0.3344 0.6688  4 Cr 2.61, 4 Ge 2.63, 4 Os 2.90

Computed properties:
Raw total energy, eV per atom: -8.381
Space-group type: I4mm (107)
DOS at the Fermi energy, states/eV/atom: 0.55
Energy of formation, eV per atom: 0.11
Magnetic moment, μB per formula unit: 0.000

2.
A plane-wave DFT calculation with PBE-GGA was carried out for a relaxed LaSb2Au crystal.

Cell lengths 9.9769, 9.9769, 9.9769 Å; angles 20.56, 20.56, 20.56 degrees
Closest atoms and distances in Å follow each position.
Fractional positions:
1 Au 0.7500 0.7500 0.7500  6 Sb 2.92
2 La 0.2500 0.2500 0.2500  6 Sb 3.48, 6 La 3.56
3 Sb 0.0125 0.0125 0.0125  3 Au 2.92
4 Sb 0.4875 0.4875 0.4875  3 Au 2.92

Computed properties:
Raw total energy, eV per atom: -4.294
Space-group type: R-3m (166)
DOS at the Fermi energy, states/eV/atom: 0.54
Magnetic moment, μB per formula unit: 0.000
Formation energy (no corrections), meV/atom: -181.7

3.
A plane-wave DFT calculation with PBE-GGA was carried out for a relaxed NaHfBr4 crystal.

Cell lengths 7.3681, 7.3681, 6.8046 Å; angles 122.78, 122.78, 90.00 degrees
Closest atoms and distances in Å follow each position.
Fractional positions:
1 Na 0.7500 0.2500 0.5000  4 Br 2.94
2 Hf 0.5000 0.5000 0.0000  4 Br 2.56
3 Br 0.3625 0.8270 0.1893  1 Hf 2.56
4 Br 0.8268 0.3622 0.1893  1 Hf 2.56
5 Br 0.1730 0.1732 0.8107  1 Hf 2.56
6 Br 0.6378 0.6375 0.8107  1 Hf 2.56

Computed properties:
Raw total energy, eV per atom: -4.164
Space-group type: I-4 (82)
Magnetic moment, μB per formula unit: 1.000
Formation energy (no corrections), meV/atom: -1170.2

4.
A plane-wave DFT calculation with PBE-GGA was carried out for a relaxed P3SeO crystal.

Cell lengths 4.7412, 4.7412, 4.7412 Å; angles 90.00, 90.00, 90.00 degrees
Closest atoms and distances in Å follow each position.
Fractional positions:
1 P 0.0000 0.5000 0.0000  2 Se 2.37
2 P 0.0000 0.0000 0.5000  2 Se 2.37
3 P 0.5000 0.0000 0.0000  2 Se 2.37
4 O 0.5000 0.5000 0.5000  12 P 3.35
5 Se 0.0000 0.0000 0.0000  6 P 2.37

Computed properties:
Raw total energy, eV per atom: -3.187
Space-group type: Pm-3m (221)
DOS at the Fermi energy, states/eV/atom: 2.20
Magnetic moment, μB per formula unit: 0.000
E above lowest polymorph, meV per atom: 946
Formation energy (no corrections), meV/atom: 1747.0